Entry 1:
The following is a DFT calculation (PBE) of a geometry-optimized Ac2PuMnS6 structure.

Computed properties:
As for the total energy: -72.49 eV/cell.

Lattice parameters (Å, degrees): 6.917 6.917 6.917 62.75 62.75 62.75
Positions (direct):
Ac 0.227 0.227 0.227
Ac 0.773 0.773 0.773
Pu 0.500 0.500 0.500
Mn 0.000 0.000 0.000
S 0.150 0.770 0.331
S 0.230 0.669 0.850
S 0.331 0.150 0.770
S 0.669 0.850 0.230
S 0.770 0.331 0.150
S 0.850 0.230 0.669

Entry 2:
The following is a DFT calculation (PBE) of a geometry-optimized Ac2PuMnSe5 structure.

Computed properties:
As for the total energy: -125.91 eV/cell.

Lattice parameters (Å, degrees): 9.376 9.376 12.615 90.00 90.00 153.46
Positions (direct):
Ac 0.114 0.886 0.500
Ac 0.128 0.872 0.125
Ac 0.872 0.128 0.625
Ac 0.886 0.114 0.000
Pu 0.203 0.797 0.825
Pu 0.797 0.203 0.325
Mn 0.445 0.555 0.264
Mn 0.555 0.445 0.764
Se 0.044 0.956 0.867
Se 0.291 0.709 0.483
Se 0.316 0.684 0.168
Se 0.363 0.637 0.815
Se 0.497 0.503 0.585
Se 0.503 0.497 0.085
Se 0.637 0.363 0.315
Se 0.684 0.316 0.668
Se 0.709 0.291 0.983
Se 0.956 0.044 0.367

Entry 3:
The following is a DFT calculation (PBE) of a geometry-optimized RbAcMnS3 structure.

Computed properties:
As for the total energy: -70.18 eV/cell.

Lattice parameters (Å, degrees): 9.401 4.363 9.785 90.00 103.16 90.00
Positions (direct):
Rb 0.182 0.250 0.215
Rb 0.818 0.750 0.785
Ac 0.342 0.750 0.842
Ac 0.658 0.250 0.158
Mn 0.084 0.250 0.602
Mn 0.916 0.750 0.398
S 0.122 0.250 0.846
S 0.173 0.750 0.526
S 0.444 0.750 0.150
S 0.556 0.250 0.850
S 0.827 0.250 0.474
S 0.878 0.750 0.154

Entry 4:
The following is a DFT calculation (PBE) of a geometry-optimized RbAc2MnSe4 structure.

Computed properties:
As for the total energy: -88.62 eV/cell.

Lattice parameters (Å, degrees): 8.006 8.006 15.399 90.00 90.00 147.99
Positions (direct):
Rb 0.101 0.899 0.750
Rb 0.899 0.101 0.250
Ac 0.367 0.633 0.558
Ac 0.367 0.633 0.942
Ac 0.633 0.367 0.058
Ac 0.633 0.367 0.442
Mn 0.170 0.830 0.250
Mn 0.830 0.170 0.750
Se 0.000 0.000 0.000
Se 0.000 0.000 0.500
Se 0.265 0.735 0.117
Se 0.265 0.735 0.383
Se 0.420 0.580 0.750
Se 0.580 0.420 0.250
Se 0.735 0.265 0.617
Se 0.735 0.265 0.883